Entry 1:
Computed, not measured: a relaxed Mn2Tl3PbCl9 crystal at the PBE level of DFT.

The structure in POSCAR format:
```
Mn2Tl3PbCl9
1.0
-4.7093 1.0944 -5.4756
2.4821 -6.7273 1.3930
-7.2968 -1.4529 5.9852
Mn Pb Tl Cl
2 1 3 9
direct
0.3333 0.6667 0.1634
0.6667 0.3333 0.8366
0.0000 0.0000 0.5000
0.3333 0.6667 0.7382
0.6667 0.3333 0.2618
0.0000 0.0000 0.0000
0.5000 0.5000 0.0000
0.5000 0.0000 0.0000
0.1701 0.3402 0.3018
0.6598 0.8299 0.3018
0.8299 0.1701 0.6982
0.0000 0.5000 0.0000
0.8299 0.6598 0.6982
0.1701 0.8299 0.3018
0.3402 0.1701 0.6982
```

## Properties
total DFT energy (no corrections)	-61.575	eV for the cell shown
raw formation energy	-15.81	eV/f.u.
V	29.4	A^3/atom
space-group type	P-3m1
D(E_F)	0.00	states/eV/f.u.

Entry 2:
Computed, not measured: a relaxed MnVPbCl6 crystal at the PBE level of DFT.

The structure in POSCAR format:
```
MnVPbCl6
1.0
6.5186 0.0000 0.0000
-3.2593 5.6453 0.0000
0.0000 0.0000 12.5646
Mn Cl V Pb
2 12 2 2
direct
0.3333 0.6667 0.7500
0.6667 0.3333 0.2500
0.3629 0.9936 0.1377
0.9936 0.3629 0.6377
0.3693 0.0064 0.6377
0.6307 0.6371 0.1377
0.0064 0.6371 0.3623
0.6371 0.6307 0.6377
0.9936 0.6307 0.8623
0.3693 0.3629 0.8623
0.6371 0.0064 0.8623
0.6307 0.9936 0.3623
0.0064 0.3693 0.1377
0.3629 0.3693 0.3623
0.6667 0.3333 0.7500
0.3333 0.6667 0.2500
0.0000 0.0000 0.0000
0.0000 0.0000 0.5000
```

## Properties
total DFT energy (no corrections)	-86.243	eV for the cell shown
raw formation energy	-10.05	eV/f.u.
V	25.7	A^3/atom
space-group type	P-31c